Entry 1:
Density functional theory data (GGA-PBE) for a relaxed Li2TlSb2Pb2 crystal.

Computed properties:
The total magnetic moment comes out at 0.000 μB per formula unit. As for the energy relative to the elements, uncorrected: -175 meV per atom. Its theoretical density is 7.4 g/cm3.

a = 4.7557 Å, b = 4.7557 Å, c = 10.3536 Å
α = 76.72°, β = 76.72°, γ = 60.00°
Atoms (fractional coordinates):
Li 0.6264 0.6264 0.1209
Li 0.3736 0.3736 0.8791
Tl 0.0000 0.0000 0.0000
Sb 0.2611 0.2611 0.2166
Sb 0.7389 0.7389 0.7834
Pb 0.1286 0.1286 0.6142
Pb 0.8714 0.8714 0.3858



Entry 2:
Density functional theory data (GGA-PBE) for a relaxed LiTlSbPb crystal.

Computed properties:
The total magnetic moment comes out at 0.000 μB per formula unit. As for the energy relative to the elements, uncorrected: -130 meV per atom. Its theoretical density is 7.7 g/cm3.

a = 4.7002 Å, b = 4.7002 Å, c = 6.6945 Å
α = 89.96°, β = 110.39°, γ = 120.31°
Atoms (fractional coordinates):
Tl 0.3879 0.0571 0.4449
Pb 0.9528 0.8433 0.7961
Li 0.5401 0.6340 0.1741
Sb 0.8114 0.2700 0.0814



Entry 3:
Density functional theory data (GGA-PBE) for a relaxed Li2ScPb crystal.

Computed properties:
The total magnetic moment comes out at 0.000 μB per formula unit. The value obtained for the formation energy is 0.039 eV per atom. Its theoretical density is 4.7 g/cm3.

a = 3.1614 Å, b = 3.1614 Å, c = 9.8470 Å
α = 90.00°, β = 90.00°, γ = 108.97°
Atoms (fractional coordinates):
Sc 0.5000 0.5000 0.7500
Li 0.0000 0.0000 0.0098
Li 0.0000 0.0000 0.4902
Pb 0.5000 0.5000 0.2500



Entry 4:
Density functional theory data (GGA-PBE) for a relaxed LiScPb2 crystal.

Computed properties:
The total magnetic moment comes out at 0.000 μB per formula unit. The value obtained for the formation energy is -0.243 eV per atom. Its theoretical density is 8.0 g/cm3.

a = 5.1538 Å, b = 5.1538 Å, c = 5.1538 Å
α = 60.00°, β = 60.00°, γ = 60.00°
Atoms (fractional coordinates):
Pb 0.2500 0.2500 0.2500
Pb 0.7500 0.7500 0.7500
Sc 0.5000 0.5000 0.5000
Li 0.0000 0.0000 0.0000



Entry 5:
Density functional theory data (GGA-PBE) for a relaxed Li2ScPb crystal.

Computed properties:
The total magnetic moment comes out at 0.000 μB per formula unit. The value obtained for the formation energy is -0.177 eV per atom. Its theoretical density is 5.0 g/cm3.

a = 4.6629 Å, b = 3.4341 Å, c = 5.7551 Å
α = 74.76°, β = 90.00°, γ = 90.00°
Atoms (fractional coordinates):
Li 0.0000 0.0226 0.0645
Li 0.5000 0.4307 0.2250
Sc 0.5000 0.7346 0.6881
Pb 0.0000 0.3121 0.5223



Entry 6:
Density functional theory data (GGA-PBE) for a relaxed LiScPb2 crystal.

Computed properties:
The total magnetic moment comes out at 0.000 μB per formula unit. The value obtained for the formation energy is -0.275 eV per atom. Its theoretical density is 8.1 g/cm3.

a = 5.4583 Å, b = 5.4583 Å, c = 5.4583 Å
α = 128.95°, β = 128.93°, γ = 75.10°
Atoms (fractional coordinates):
Pb 0.5000 0.5000 0.0000
Pb 0.0000 0.0000 0.0000
Li 0.2500 0.7500 0.5000
Sc 0.7500 0.2500 0.5000



Entry 7:
Density functional theory data (GGA-PBE) for a relaxed Li2ScPb crystal.

Computed properties:
The total magnetic moment comes out at 0.000 μB per formula unit. The value obtained for the formation energy is -0.051 eV per atom. Its theoretical density is 4.7 g/cm3.

a = 4.2102 Å, b = 4.2102 Å, c = 10.9337 Å
α = 78.90°, β = 78.90°, γ = 90.00°
Atoms (fractional coordinates):
Pb 0.0000 0.0000 0.0000
Pb 0.7500 0.2500 0.5000
Sc 0.2500 0.7500 0.5000
Sc 0.5000 0.5000 0.0000
Li 0.0894 0.6250 0.2500
Li 0.8750 0.9106 0.7500
Li 0.6606 0.1250 0.2500
Li 0.3750 0.3394 0.7500



Entry 8:
Density functional theory data (GGA-PBE) for a relaxed LiScPb2 crystal.

Computed properties:
The total magnetic moment comes out at 0.029 μB per formula unit. The value obtained for the formation energy is -0.295 eV per atom. Its theoretical density is 8.1 g/cm3.

a = 4.2242 Å, b = 3.3612 Å, c = 7.5943 Å
α = 62.86°, β = 90.00°, γ = 90.00°
Atoms (fractional coordinates):
Pb 0.0000 0.0078 0.9959
Pb 0.0000 0.4922 0.5041
Li 0.5000 0.7500 0.7500
Sc 0.5000 0.2500 0.2500